(1)
An optimized crystal structure of OsPbO3. Source: the Open Quantum Materials Database, functional PBE.

Calculated values
The calculation puts the electronic total energy at -6.791 eV per atom.

```
data_OsPbO3
_chemical_formula_sum 'Os8 Pb8 O24'
_space_group_name_H-M_alt 'P 1'
_space_group_IT_number 1
_cell_length_a 5.512
_cell_length_b 11.293
_cell_length_c 8.122
_cell_angle_alpha 90.00
_cell_angle_beta 90.00
_cell_angle_gamma 90.00
loop_
_space_group_symop_operation_xyz
'x,y,z'
loop_
_atom_site_label
_atom_site_fract_x
_atom_site_fract_y
_atom_site_fract_z
Os1 0.236 0.123 0.248
Os2 0.236 0.123 0.752
Os3 0.264 0.623 0.248
Os4 0.264 0.623 0.752
Os5 0.736 0.377 0.248
Os6 0.736 0.377 0.752
Os7 0.764 0.877 0.248
Os8 0.764 0.877 0.752
Pb1 0.214 0.372 0.500
Pb2 0.225 0.372 0.000
Pb3 0.275 0.872 0.000
Pb4 0.286 0.872 0.500
Pb5 0.714 0.128 0.500
Pb6 0.725 0.128 0.000
Pb7 0.775 0.628 0.000
Pb8 0.786 0.628 0.500
O1 0.000 0.000 0.261
O2 0.000 0.000 0.739
O3 0.000 0.500 0.298
O4 0.000 0.500 0.702
O5 0.001 0.260 0.221
O6 0.001 0.260 0.779
O7 0.213 0.587 0.000
O8 0.241 0.659 0.500
O9 0.259 0.159 0.500
O10 0.287 0.087 0.000
O11 0.499 0.760 0.221
O12 0.499 0.760 0.779
O13 0.500 0.000 0.298
O14 0.500 0.000 0.702
O15 0.500 0.500 0.261
O16 0.500 0.500 0.739
O17 0.501 0.240 0.221
O18 0.501 0.240 0.779
O19 0.713 0.913 0.000
O20 0.741 0.841 0.500
O21 0.759 0.341 0.500
O22 0.787 0.413 0.000
O23 0.999 0.740 0.221
O24 0.999 0.740 0.779
```



(2)
An optimized crystal structure of OsPbO3. Source: the Open Quantum Materials Database, functional PBE.

Calculated values
The calculation puts the electronic total energy at -6.651 eV per atom.

```
data_OsPbO3
_chemical_formula_sum 'Os4 Pb4 O12'
_space_group_name_H-M_alt 'P 1'
_space_group_IT_number 1
_cell_length_a 5.369
_cell_length_b 5.369
_cell_length_c 11.512
_cell_angle_alpha 90.00
_cell_angle_beta 90.00
_cell_angle_gamma 90.00
loop_
_space_group_symop_operation_xyz
'x,y,z'
loop_
_atom_site_label
_atom_site_fract_x
_atom_site_fract_y
_atom_site_fract_z
Os1 0.216 0.232 0.000
Os2 0.232 0.784 0.750
Os3 0.768 0.216 0.250
Os4 0.784 0.768 0.500
Pb1 0.258 0.276 0.497
Pb2 0.276 0.742 0.247
Pb3 0.724 0.258 0.747
Pb4 0.742 0.724 0.997
O1 0.021 0.564 0.811
O2 0.068 0.884 0.431
O3 0.116 0.068 0.681
O4 0.256 0.551 0.044
O5 0.436 0.021 0.061
O6 0.449 0.256 0.294
O7 0.551 0.744 0.794
O8 0.564 0.979 0.561
O9 0.744 0.449 0.544
O10 0.884 0.932 0.181
O11 0.932 0.116 0.931
O12 0.979 0.436 0.311
```



(3)
An optimized crystal structure of OsPbO3. Source: the Open Quantum Materials Database, functional PBE.

Calculated values
The calculation puts the electronic total energy at -5.977 eV per atom.

```
data_OsPbO3
_chemical_formula_sum 'Os1 Pb1 O3'
_space_group_name_H-M_alt 'P 1'
_space_group_IT_number 1
_cell_length_a 3.626
_cell_length_b 3.626
_cell_length_c 5.556
_cell_angle_alpha 90.00
_cell_angle_beta 90.00
_cell_angle_gamma 90.00
loop_
_space_group_symop_operation_xyz
'x,y,z'
loop_
_atom_site_label
_atom_site_fract_x
_atom_site_fract_y
_atom_site_fract_z
Os1 0.000 0.000 0.000
Pb1 0.500 0.500 0.574
O1 0.000 0.500 0.850
O2 0.500 0.000 0.850
O3 0.500 0.500 0.191
```



(4)
An optimized crystal structure of Os4PbO9. Source: the Open Quantum Materials Database, functional PBE.

Calculated values
The calculation puts the electronic total energy at -7.341 eV per atom.

```
data_Os4PbO9
_chemical_formula_sum 'Os4 Pb1 O9'
_space_group_name_H-M_alt 'P 1'
_space_group_IT_number 1
_cell_length_a 6.800
_cell_length_b 6.800
_cell_length_c 4.731
_cell_angle_alpha 101.36
_cell_angle_beta 101.36
_cell_angle_gamma 117.34
loop_
_space_group_symop_operation_xyz
'x,y,z'
loop_
_atom_site_label
_atom_site_fract_x
_atom_site_fract_y
_atom_site_fract_z
Os1 0.000 0.000 0.000
Os2 0.338 0.031 0.842
Os3 0.779 0.221 0.500
Os4 0.969 0.662 0.158
Pb1 0.461 0.539 0.500
O1 0.011 0.472 0.876
O2 0.022 0.234 0.330
O3 0.239 0.761 0.500
O4 0.270 0.275 0.947
O5 0.528 0.989 0.124
O6 0.531 0.239 0.649
O7 0.725 0.730 0.053
O8 0.761 0.469 0.351
O9 0.766 0.978 0.670
```



(5)
An optimized crystal structure of OsPbO4. Source: the Open Quantum Materials Database, functional PBE.

Calculated values
The value obtained for the energy above the lowest structure with this stoichiometry is 0.0788 eV/atom.

```
data_OsPbO4
_chemical_formula_sum 'Os2 Pb2 O8'
_space_group_name_H-M_alt 'P 1'
_space_group_IT_number 1
_cell_length_a 7.630
_cell_length_b 7.630
_cell_length_c 4.195
_cell_angle_alpha 105.95
_cell_angle_beta 105.95
_cell_angle_gamma 119.48
loop_
_space_group_symop_operation_xyz
'x,y,z'
loop_
_atom_site_label
_atom_site_fract_x
_atom_site_fract_y
_atom_site_fract_z
Os1 0.108 0.892 0.500
Os2 0.892 0.108 0.000
Pb1 0.389 0.617 0.155
Pb2 0.617 0.389 0.655
O1 0.041 0.951 0.101
O2 0.152 0.381 0.398
O3 0.229 0.779 0.245
O4 0.381 0.152 0.898
O5 0.616 0.854 0.867
O6 0.779 0.229 0.745
O7 0.854 0.616 0.367
O8 0.951 0.041 0.601
```



(6)
An optimized crystal structure of OsPbO3. Source: the Open Quantum Materials Database, functional PBE.

Calculated values
The calculation puts the electronic total energy at -6.788 eV per atom.

```
data_OsPbO3
_chemical_formula_sum 'Os4 Pb4 O12'
_space_group_name_H-M_alt 'P 1'
_space_group_IT_number 1
_cell_length_a 5.602
_cell_length_b 7.910
_cell_length_c 5.659
_cell_angle_alpha 90.00
_cell_angle_beta 90.00
_cell_angle_gamma 90.00
loop_
_space_group_symop_operation_xyz
'x,y,z'
loop_
_atom_site_label
_atom_site_fract_x
_atom_site_fract_y
_atom_site_fract_z
Os1 0.000 0.000 0.000
Os2 0.000 0.500 0.000
Os3 0.500 0.000 0.500
Os4 0.500 0.500 0.500
Pb1 0.017 0.250 0.495
Pb2 0.483 0.750 0.995
Pb3 0.517 0.250 0.005
Pb4 0.983 0.750 0.505
O1 0.005 0.250 0.932
O2 0.222 0.538 0.722
O3 0.222 0.962 0.722
O4 0.278 0.038 0.222
O5 0.278 0.462 0.222
O6 0.495 0.750 0.432
O7 0.505 0.250 0.568
O8 0.722 0.538 0.778
O9 0.722 0.962 0.778
O10 0.778 0.038 0.278
O11 0.778 0.462 0.278
O12 0.995 0.750 0.068
```



(7)
An optimized crystal structure of OsPbO3. Source: the Open Quantum Materials Database, functional PBE.

Calculated values
The calculation puts the electronic total energy at -6.938 eV per atom.

```
data_OsPbO3
_chemical_formula_sum 'Os4 Pb4 O12'
_space_group_name_H-M_alt 'P 1'
_space_group_IT_number 1
_cell_length_a 7.312
_cell_length_b 7.312
_cell_length_c 7.312
_cell_angle_alpha 60.00
_cell_angle_beta 60.00
_cell_angle_gamma 60.00
loop_
_space_group_symop_operation_xyz
'x,y,z'
loop_
_atom_site_label
_atom_site_fract_x
_atom_site_fract_y
_atom_site_fract_z
Os1 0.000 0.000 0.000
Os2 0.000 0.000 0.500
Os3 0.000 0.500 0.000
Os4 0.500 0.000 0.000
Pb1 0.000 0.500 0.500
Pb2 0.500 0.000 0.500
Pb3 0.500 0.500 0.000
Pb4 0.500 0.500 0.500
O1 0.070 0.070 0.680
O2 0.070 0.680 0.070
O3 0.070 0.680 0.680
O4 0.320 0.320 0.930
O5 0.320 0.930 0.320
O6 0.320 0.930 0.930
O7 0.680 0.070 0.070
O8 0.680 0.070 0.680
O9 0.680 0.680 0.070
O10 0.930 0.320 0.320
O11 0.930 0.320 0.930
O12 0.930 0.930 0.320
```



(8)
An optimized crystal structure of OsPbO3. Source: the Open Quantum Materials Database, functional PBE.

Calculated values
The calculation puts the electronic total energy at -6.755 eV per atom.

```
data_OsPbO3
_chemical_formula_sum 'Os1 Pb1 O3'
_space_group_name_H-M_alt 'P 1'
_space_group_IT_number 1
_cell_length_a 3.985
_cell_length_b 3.985
_cell_length_c 3.986
_cell_angle_alpha 90.00
_cell_angle_beta 90.00
_cell_angle_gamma 90.00
loop_
_space_group_symop_operation_xyz
'x,y,z'
loop_
_atom_site_label
_atom_site_fract_x
_atom_site_fract_y
_atom_site_fract_z
Os1 0.000 0.000 0.000
Pb1 0.500 0.500 0.472
O1 0.000 0.000 0.504
O2 0.000 0.500 0.025
O3 0.500 0.000 0.025
```